No. 1
# BaPbSe3 | Alexandria via LeMat-Bulk | GGA-PBE | optimized geometry
data_BaPbSe3
_chemical_formula_sum 'Ba1 Pb1 Se3'
_cell_length_a 5.508
_cell_length_b 5.508
_cell_length_c 5.508
_cell_angle_alpha 90.00
_cell_angle_beta 90.00
_cell_angle_gamma 90.00
_space_group_name_H-M_alt 'P 1'
_space_group_IT_number 1
loop_
_space_group_symop_operation_xyz
'x,y,z'
loop_
_atom_site_label
_atom_site_fract_x
_atom_site_fract_y
_atom_site_fract_z
Ba1 0.500 0.500 0.500
Se1 0.000 0.500 0.000
Pb1 0.000 0.000 0.000
Se2 0.000 0.000 0.500
Se3 0.500 0.000 0.000
# offset from the most stable computed form: 0 meV per atom
# ΔE_f (raw): -699 meV/atom
# final energy: -3.92 eV per atom

No. 2
# CaAs2Pb | Alexandria via LeMat-Bulk | GGA-PBE | optimized geometry
data_CaAs2Pb
_chemical_formula_sum 'Ca2 As4 Pb2'
_cell_length_a 6.964
_cell_length_b 6.964
_cell_length_c 7.445
_cell_angle_alpha 62.11
_cell_angle_beta 62.11
_cell_angle_gamma 90.00
_space_group_name_H-M_alt 'P 1'
_space_group_IT_number 1
loop_
_space_group_symop_operation_xyz
'x,y,z'
loop_
_atom_site_label
_atom_site_fract_x
_atom_site_fract_y
_atom_site_fract_z
Pb1 0.750 0.250 0.500
Pb2 0.000 0.000 0.000
As1 0.649 0.125 0.250
Ca1 0.250 0.750 0.500
Ca2 0.500 0.500 0.000
As2 0.875 0.899 0.750
As3 0.375 0.351 0.750
As4 0.101 0.625 0.250
# energy of formation from the pure elements: -1.25 eV per formula unit
# final energy: -4.07 eV per atom

No. 3
# Ba3YSc | Alexandria via LeMat-Bulk | GGA-PBE | optimized geometry
data_Ba3YSc
_chemical_formula_sum 'Ba3 Y1 Sc1'
_cell_length_a 6.320
_cell_length_b 6.320
_cell_length_c 6.320
_cell_angle_alpha 90.00
_cell_angle_beta 90.00
_cell_angle_gamma 90.00
_space_group_name_H-M_alt 'P 1'
_space_group_IT_number 1
loop_
_space_group_symop_operation_xyz
'x,y,z'
loop_
_atom_site_label
_atom_site_fract_x
_atom_site_fract_y
_atom_site_fract_z
Y1 0.500 0.500 0.500
Ba1 0.000 0.500 0.000
Ba2 0.000 0.000 0.500
Ba3 0.500 0.000 0.000
Sc1 0.000 0.000 0.000
# offset from the most stable computed form: 0 meV per atom
# energy of formation from the pure elements: 3.73 eV per formula unit
# final energy: -2.97 eV per atom

No. 4
# Tb4PrTm | Alexandria via LeMat-Bulk | GGA-PBE | optimized geometry
data_Tb4PrTm
_chemical_formula_sum 'Tb4 Pr1 Tm1'
_cell_length_a 3.462
_cell_length_b 6.054
_cell_length_c 10.153
_cell_angle_alpha 87.37
_cell_angle_beta 80.18
_cell_angle_gamma 73.38
_space_group_name_H-M_alt 'P 1'
_space_group_IT_number 1
loop_
_space_group_symop_operation_xyz
'x,y,z'
loop_
_atom_site_label
_atom_site_fract_x
_atom_site_fract_y
_atom_site_fract_z
Tm1 0.000 0.000 0.000
Tb1 0.847 0.965 0.342
Tb2 0.153 0.035 0.658
Pr1 0.500 0.500 0.500
Tb3 0.345 0.462 0.848
Tb4 0.655 0.538 0.152
# offset from the most stable computed form: 0 meV per atom
# energy of formation from the pure elements: 1.17 eV per formula unit
# final energy: -4.43 eV per atom

No. 5
# HfW3S | Alexandria via LeMat-Bulk | GGA-PBE | optimized geometry
data_HfW3S
_chemical_formula_sum 'Hf1 W3 S1'
_cell_length_a 4.462
_cell_length_b 4.462
_cell_length_c 4.462
_cell_angle_alpha 90.00
_cell_angle_beta 90.00
_cell_angle_gamma 90.00
_space_group_name_H-M_alt 'P 1'
_space_group_IT_number 1
loop_
_space_group_symop_operation_xyz
'x,y,z'
loop_
_atom_site_label
_atom_site_fract_x
_atom_site_fract_y
_atom_site_fract_z
W1 0.000 0.000 0.500
Hf1 0.500 0.500 0.500
W2 0.500 0.000 0.000
S1 0.000 0.000 0.000
W3 0.000 0.500 0.000
# offset from the most stable computed form: 0 meV per atom
# ΔE_f (raw): 548 meV/atom
# final energy: -10.04 eV per atom

No. 6
# FeAg2Os | Alexandria via LeMat-Bulk | GGA-PBE | optimized geometry
data_FeAg2Os
_chemical_formula_sum 'Fe1 Ag2 Os1'
_cell_length_a 2.775
_cell_length_b 2.775
_cell_length_c 7.950
_cell_angle_alpha 90.00
_cell_angle_beta 90.00
_cell_angle_gamma 90.00
_space_group_name_H-M_alt 'P 1'
_space_group_IT_number 1
loop_
_space_group_symop_operation_xyz
'x,y,z'
loop_
_atom_site_label
_atom_site_fract_x
_atom_site_fract_y
_atom_site_fract_z
Os1 0.500 0.500 0.712
Ag1 0.500 0.500 0.270
Fe1 0.000 0.000 0.528
Ag2 0.000 0.000 0.990
# offset from the most stable computed form: 20 meV per atom
# energy of formation from the pure elements: 1.34 eV per formula unit
# final energy: -6.01 eV per atom

No. 7
# Sm3AlHg2 | Alexandria via LeMat-Bulk | GGA-PBE | optimized geometry
data_Sm3AlHg2
_chemical_formula_sum 'Sm6 Al2 Hg4'
_cell_length_a 3.774
_cell_length_b 5.311
_cell_length_c 15.972
_cell_angle_alpha 90.00
_cell_angle_beta 90.00
_cell_angle_gamma 90.00
_space_group_name_H-M_alt 'P 1'
_space_group_IT_number 1
loop_
_space_group_symop_operation_xyz
'x,y,z'
loop_
_atom_site_label
_atom_site_fract_x
_atom_site_fract_y
_atom_site_fract_z
Hg1 0.000 0.500 0.164
Sm1 0.500 0.500 0.000
Hg2 0.000 0.000 0.664
Al1 0.000 0.500 0.500
Sm2 0.500 0.000 0.163
Sm3 0.500 0.500 0.663
Al2 0.000 0.000 0.000
Sm4 0.500 0.000 0.500
Hg3 0.000 0.000 0.336
Sm5 0.500 0.000 0.837
Sm6 0.500 0.500 0.337
Hg4 0.000 0.500 0.836
# offset from the most stable computed form: 5 meV per atom
# energy of formation from the pure elements: -2.56 eV per formula unit
# final energy: -3.51 eV per atom

No. 8
# GeSe2NF | Alexandria via LeMat-Bulk | GGA-PBE | optimized geometry
data_GeSe2NF
_chemical_formula_sum 'Ge1 Se2 N1 F1'
_cell_length_a 5.229
_cell_length_b 5.229
_cell_length_c 3.593
_cell_angle_alpha 90.00
_cell_angle_beta 90.00
_cell_angle_gamma 90.00
_space_group_name_H-M_alt 'P 1'
_space_group_IT_number 1
loop_
_space_group_symop_operation_xyz
'x,y,z'
loop_
_atom_site_label
_atom_site_fract_x
_atom_site_fract_y
_atom_site_fract_z
F1 0.500 0.500 0.500
Se1 0.500 0.000 0.000
Se2 0.000 0.500 0.000
N1 0.000 0.000 0.500
Ge1 0.000 0.000 0.000
# offset from the most stable computed form: 0 meV per atom
# ΔE_f (raw): 747 meV/atom
# final energy: -3.61 eV per atom

No. 9
# Ba2BiSb | Alexandria via LeMat-Bulk | GGA-PBE | optimized geometry
data_Ba2BiSb
_chemical_formula_sum 'Ba2 Bi1 Sb1'
_cell_length_a 4.759
_cell_length_b 5.713
_cell_length_c 5.713
_cell_angle_alpha 90.00
_cell_angle_beta 90.00
_cell_angle_gamma 90.00
_space_group_name_H-M_alt 'P 1'
_space_group_IT_number 1
loop_
_space_group_symop_operation_xyz
'x,y,z'
loop_
_atom_site_label
_atom_site_fract_x
_atom_site_fract_y
_atom_site_fract_z
Ba1 0.000 0.500 0.000
Bi1 0.500 0.500 0.500
Ba2 0.000 0.000 0.500
Sb1 0.500 0.000 0.000
# offset from the most stable computed form: 49 meV per atom
# ΔE_f (raw): -817 meV/atom
# final energy: -3.78 eV per atom

No. 10
# Hf4TlO | Alexandria via LeMat-Bulk | GGA-PBE | optimized geometry
data_Hf4TlO
_chemical_formula_sum 'Hf8 Tl2 O2'
_cell_length_a 5.610
_cell_length_b 6.693
_cell_length_c 7.946
_cell_angle_alpha 108.72
_cell_angle_beta 103.50
_cell_angle_gamma 106.49
_space_group_name_H-M_alt 'P 1'
_space_group_IT_number 1
loop_
_space_group_symop_operation_xyz
'x,y,z'
loop_
_atom_site_label
_atom_site_fract_x
_atom_site_fract_y
_atom_site_fract_z
Hf1 0.305 0.870 0.557
Hf2 0.037 0.177 0.826
Hf3 0.695 0.130 0.443
Tl1 0.346 0.596 0.192
O1 0.857 0.107 0.214
O2 0.143 0.893 0.786
Tl2 0.654 0.404 0.808
Hf4 0.248 0.313 0.443
Hf5 0.752 0.687 0.557
Hf6 0.963 0.823 0.174
Hf7 0.289 0.650 0.826
Hf8 0.711 0.350 0.174
# ΔE_f (raw): -554 meV/atom
# final energy: -8.41 eV per atom

No. 11
# MnFe2Si | Alexandria via LeMat-Bulk | GGA-PBE | optimized geometry
data_MnFe2Si
_chemical_formula_sum 'Mn1 Fe2 Si1'
_cell_length_a 2.647
_cell_length_b 2.647
_cell_length_c 6.092
_cell_angle_alpha 90.00
_cell_angle_beta 90.00
_cell_angle_gamma 90.00
_space_group_name_H-M_alt 'P 1'
_space_group_IT_number 1
loop_
_space_group_symop_operation_xyz
'x,y,z'
loop_
_atom_site_label
_atom_site_fract_x
_atom_site_fract_y
_atom_site_fract_z
Fe1 0.000 0.000 0.982
Mn1 0.500 0.500 0.250
Fe2 0.000 0.000 0.518
Si1 0.500 0.500 0.750
# ΔE_f (raw): -191 meV/atom
# final energy: -8.07 eV per atom

No. 12
# Ta2TlPb | Alexandria via LeMat-Bulk | GGA-PBE | optimized geometry
data_Ta2TlPb
_chemical_formula_sum 'Ta2 Tl1 Pb1'
_cell_length_a 5.531
_cell_length_b 5.531
_cell_length_c 5.531
_cell_angle_alpha 134.64
_cell_angle_beta 134.64
_cell_angle_gamma 66.10
_space_group_name_H-M_alt 'P 1'
_space_group_IT_number 1
loop_
_space_group_symop_operation_xyz
'x,y,z'
loop_
_atom_site_label
_atom_site_fract_x
_atom_site_fract_y
_atom_site_fract_z
Tl1 0.500 0.500 0.000
Ta1 0.250 0.750 0.500
Pb1 0.750 0.250 0.500
Ta2 0.000 0.000 0.000
# offset from the most stable computed form: 355 meV per atom
# energy of formation from the pure elements: 2.85 eV per formula unit
# final energy: -6.73 eV per atom

No. 13
# MgTa2Ir | Alexandria via LeMat-Bulk | GGA-PBE | optimized geometry
data_MgTa2Ir
_chemical_formula_sum 'Mg1 Ta2 Ir1'
_cell_length_a 4.584
_cell_length_b 4.584
_cell_length_c 4.584
_cell_angle_alpha 60.00
_cell_angle_beta 60.00
_cell_angle_gamma 60.00
_space_group_name_H-M_alt 'P 1'
_space_group_IT_number 1
loop_
_space_group_symop_operation_xyz
'x,y,z'
loop_
_atom_site_label
_atom_site_fract_x
_atom_site_fract_y
_atom_site_fract_z
Ta1 0.250 0.250 0.250
Ir1 0.500 0.500 0.500
Ta2 0.000 0.000 0.000
Mg1 0.750 0.750 0.750
# energy of formation from the pure elements: 0.11 eV per formula unit
# final energy: -8.51 eV per atom

No. 14
# RbLiTl2Pt | Alexandria via LeMat-Bulk | GGA-PBE | optimized geometry
data_RbLiTl2Pt
_chemical_formula_sum 'Rb1 Li1 Tl2 Pt1'
_cell_length_a 5.360
_cell_length_b 5.360
_cell_length_c 5.295
_cell_angle_alpha 90.00
_cell_angle_beta 90.00
_cell_angle_gamma 90.00
_space_group_name_H-M_alt 'P 1'
_space_group_IT_number 1
loop_
_space_group_symop_operation_xyz
'x,y,z'
loop_
_atom_site_label
_atom_site_fract_x
_atom_site_fract_y
_atom_site_fract_z
Pt1 0.000 0.000 0.000
Tl1 0.000 0.500 0.000
Tl2 0.500 0.000 0.000
Rb1 0.500 0.500 0.500
Li1 0.000 0.000 0.500
# energy of formation from the pure elements: -0.84 eV per formula unit
# final energy: -2.90 eV per atom

Computed total moment (μB/cell) in order:
0.00, 0.00, 0.00, 0.00, 0.00, 1.36, 0.00, 3.78, 0.00, 0.00, 0.44, 0.00, 1.61, 0.00